1.
This record from Alexandria describes a relaxed structure of AlPt2Se. The functional is GGA-PBE. Values from VASP.

```
&SYSTEM
  ibrav = 0, nat = 4, ntyp = 3
/
ATOMIC_SPECIES
Al 26.98 Al.upf
Pt 195.08 Pt.upf
Se 78.96 Se.upf
CELL_PARAMETERS angstrom
3.535 0.000 0.000
0.000 3.535 0.000
0.000 0.000 5.363
ATOMIC_POSITIONS crystal
Al 0.000 0.000 0.000
Pt 0.000 0.000 0.498
Pt 0.500 0.500 0.162
Se 0.500 0.500 0.643
```

Calculated values
As for the density of states at the Fermi level: 0.4192 states/eV/atom. The energy is -20.81 eV/cell. As for the size of the total moment: 0.00 μB/cell. Its space group is No. 99.

=====

2.
This record from Alexandria describes a relaxed structure of AlPt2Se. The functional is GGA-PBE. Values from VASP.

```
&SYSTEM
  ibrav = 0, nat = 12, ntyp = 3
/
ATOMIC_SPECIES
Al 26.98 Al.upf
Pt 195.08 Pt.upf
Se 78.96 Se.upf
CELL_PARAMETERS angstrom
3.653 0.000 0.000
-1.827 3.164 0.000
0.000 0.000 20.149
ATOMIC_POSITIONS crystal
Al 0.000 0.000 0.000
Al 0.333 0.667 0.667
Al 0.667 0.333 0.333
Pt 0.000 0.000 0.484
Pt 0.000 0.000 0.728
Pt 0.333 0.667 0.151
Pt 0.333 0.667 0.395
Pt 0.667 0.333 0.061
Pt 0.667 0.333 0.818
Se 0.000 0.000 0.214
Se 0.333 0.667 0.880
Se 0.667 0.333 0.547
```

Calculated values
As for the density of states at the Fermi level: 0.5444 states/eV/atom. The energy is -60.75 eV/cell. As for the size of the total moment: 0.00 μB/cell. Its space group is No. 160.

=====

3.
This record from Alexandria describes a relaxed structure of AlPtSe3. The functional is GGA-PBE. Values from VASP.

```
&SYSTEM
  ibrav = 0, nat = 5, ntyp = 3
/
ATOMIC_SPECIES
Al 26.98 Al.upf
Pt 195.08 Pt.upf
Se 78.96 Se.upf
CELL_PARAMETERS angstrom
4.787 0.000 0.000
0.000 4.787 0.000
0.000 0.000 4.787
ATOMIC_POSITIONS crystal
Al 0.000 0.000 0.000
Pt 0.500 0.500 0.500
Se 0.000 0.000 0.500
Se 0.000 0.500 0.000
Se 0.500 0.000 0.000
```

Calculated values
As for the density of states at the Fermi level: 1.5046 states/eV/atom. The energy is -17.42 eV/cell. As for the size of the total moment: 0.00 μB/cell. Its space group is No. 221.